BeTc2PdRu: relaxed, PBE.

energy of formation = 1.74 eV per atom
total magnetization = 4.11 Bohr magnetons per cell

a b c (Å): 4.760 4.760 3.888
angles (deg): 90.00 90.00 90.00
Atoms (fractional coordinates):
1 Be 0.000 0.000 0.000
2 Tc 0.000 0.500 0.500
3 Tc 0.500 0.000 0.500
4 Pd 0.000 0.000 0.500
5 Ru 0.500 0.500 0.000

---

BeTl2PdRu: relaxed, PBE.

energy of formation = 0.62 eV per atom
total magnetization = 0.00 Bohr magnetons per cell

a b c (Å): 5.203 5.203 4.139
angles (deg): 90.00 90.00 90.00
Atoms (fractional coordinates):
1 Be 0.000 0.000 0.000
2 Tl 0.000 0.500 0.500
3 Tl 0.500 0.000 0.500
4 Pd 0.500 0.500 0.000
5 Ru 0.000 0.000 0.500

---

Be2VPdRu: relaxed, PBE.

energy of formation = 1.10 eV per atom
total magnetization = 0.34 Bohr magnetons per cell

a b c (Å): 4.267 4.267 4.222
angles (deg): 90.00 90.00 90.00
Atoms (fractional coordinates):
1 Be 0.000 0.500 0.000
2 Be 0.500 0.000 0.000
3 V 0.000 0.000 0.000
4 Pd 0.500 0.500 0.500
5 Ru 0.000 0.000 0.500

---

BePdS2: relaxed, PBE.

total magnetization = 0.00 Bohr magnetons per cell
formation energy without anion corrections = -89 kJ/mol of formula units

a b c (Å): 3.140 3.140 21.347
angles (deg): 90.00 90.00 120.00
Atoms (fractional coordinates):
1 Be 0.000 0.000 0.000
2 Be 0.333 0.667 0.667
3 Be 0.667 0.333 0.333
4 Pd 0.000 0.000 0.500
5 Pd 0.333 0.667 0.167
6 Pd 0.667 0.333 0.833
7 S 0.000 0.000 0.393
8 S 0.000 0.000 0.607
9 S 0.333 0.667 0.059
10 S 0.333 0.667 0.274
11 S 0.667 0.333 0.726
12 S 0.667 0.333 0.941

---

BePdS2: relaxed, PBE.

total magnetization = 0.00 Bohr magnetons per cell
formation energy without anion corrections = -49 kJ/mol of formula units

a b c (Å): 3.814 3.814 18.684
angles (deg): 90.00 90.00 120.00
Atoms (fractional coordinates):
1 Be 0.000 0.000 0.000
2 Be 0.333 0.667 0.667
3 Be 0.667 0.333 0.333
4 Pd 0.000 0.000 0.500
5 Pd 0.333 0.667 0.167
6 Pd 0.667 0.333 0.833
7 S 0.000 0.000 0.102
8 S 0.000 0.000 0.898
9 S 0.333 0.667 0.565
10 S 0.333 0.667 0.769
11 S 0.667 0.333 0.231
12 S 0.667 0.333 0.435

---

BePd3S: relaxed, PBE.

total magnetization = 0.00 Bohr magnetons per cell
formation energy without anion corrections = 98 kJ/mol of formula units

a b c (Å): 4.251 4.251 4.251
angles (deg): 90.00 90.00 90.00
Atoms (fractional coordinates):
1 Be 0.000 0.000 0.000
2 Pd 0.000 0.000 0.500
3 Pd 0.000 0.500 0.000
4 Pd 0.500 0.000 0.000
5 S 0.500 0.500 0.500

---

BePdS2: relaxed, PBE.

total magnetization = 0.00 Bohr magnetons per cell
formation energy without anion corrections = -176 kJ/mol of formula units

a b c (Å): 5.337 5.337 9.468
angles (deg): 90.00 90.00 90.00
Atoms (fractional coordinates):
1 Be 0.000 0.000 0.000
2 Be 0.000 0.500 0.250
3 Be 0.500 0.000 0.750
4 Be 0.500 0.500 0.500
5 Pd 0.000 0.000 0.500
6 Pd 0.000 0.500 0.750
7 Pd 0.500 0.000 0.250
8 Pd 0.500 0.500 0.000
9 S 0.205 0.250 0.125
10 S 0.250 0.705 0.375
11 S 0.250 0.795 0.875
12 S 0.295 0.250 0.625
13 S 0.705 0.750 0.625
14 S 0.750 0.205 0.875
15 S 0.750 0.295 0.375
16 S 0.795 0.750 0.125

---

SrBePd2S: relaxed, PBE.

total magnetization = 0.00 Bohr magnetons per cell
formation energy without anion corrections = -235 kJ/mol of formula units

a b c (Å): 4.343 4.343 5.012
angles (deg): 90.00 90.00 90.00
Atoms (fractional coordinates):
1 Sr 0.000 0.000 0.000
2 Be 0.500 0.500 0.500
3 Pd 0.000 0.500 0.500
4 Pd 0.500 0.000 0.500
5 S 0.500 0.500 0.000

---

Be2TcPdS: relaxed, PBE.

total magnetization = 0.00 Bohr magnetons per cell
formation energy without anion corrections = 605 kJ/mol of formula units

a b c (Å): 4.248 4.248 4.760
angles (deg): 90.00 90.00 90.00
Atoms (fractional coordinates):
1 Be 0.000 0.500 0.000
2 Be 0.500 0.000 0.000
3 Tc 0.000 0.000 0.000
4 Pd 0.000 0.000 0.500
5 S 0.500 0.500 0.500

---

BeSbPd3: relaxed, PBE.

total magnetization = 0.00 Bohr magnetons per cell
formation energy without anion corrections = 391 kJ/mol of formula units

a b c (Å): 4.890 4.890 4.890
angles (deg): 90.00 90.00 90.00
Atoms (fractional coordinates):
1 Be 0.000 0.000 0.000
2 Sb 0.500 0.500 0.500
3 Pd 0.000 0.500 0.500
4 Pd 0.500 0.000 0.500
5 Pd 0.500 0.500 0.000

---

BeSb2Pd2: relaxed, PBE.

total magnetization = 0.00 Bohr magnetons per cell
formation energy without anion corrections = -44 kJ/mol of formula units

a b c (Å): 6.231 6.231 4.795
angles (deg): 90.00 90.00 90.00
Atoms (fractional coordinates):
1 Be 0.000 0.000 0.000
2 Be 0.500 0.500 0.000
3 Sb 0.180 0.320 0.500
4 Sb 0.320 0.820 0.500
5 Sb 0.680 0.180 0.500
6 Sb 0.820 0.680 0.500
7 Pd 0.162 0.662 0.000
8 Pd 0.338 0.162 0.000
9 Pd 0.662 0.838 0.000
10 Pd 0.838 0.338 0.000

---

BeSb2Pd2: relaxed, PBE.

total magnetization = 0.00 Bohr magnetons per cell
formation energy without anion corrections = 53 kJ/mol of formula units

a b c (Å): 6.812 6.812 4.164
angles (deg): 90.00 90.00 90.00
Atoms (fractional coordinates):
1 Be 0.000 0.000 0.000
2 Be 0.500 0.500 0.000
3 Sb 0.162 0.338 0.000
4 Sb 0.338 0.838 0.000
5 Sb 0.662 0.162 0.000
6 Sb 0.838 0.662 0.000
7 Pd 0.145 0.645 0.500
8 Pd 0.355 0.145 0.500
9 Pd 0.645 0.855 0.500
10 Pd 0.855 0.355 0.500

---

no.,density of states at the Fermi level (states/eV per cell)
1,7.2
2,2.8
3,4.5
4,6.2
5,7.9
6,3.5
7,4.6
8,1.6
9,4.1
10,3.3
11,3.1
12,5.0